# 1
! BeAlMo, optimized geometry, DFT PBE-GGA; values from VASP
&SYSTEM
  ibrav = 0, nat = 3, ntyp = 3
/
ATOMIC_SPECIES
Be 9.01 Be.upf
Mo 95.94 Mo.upf
Al 26.98 Al.upf
CELL_PARAMETERS angstrom
-1.347 0.973 -4.628
0.765 -2.696 -4.040
-1.732 0.225 4.596
ATOMIC_POSITIONS crystal
Be 0.667 0.667 0.000
Mo 0.321 0.321 0.000
Al 0.011 0.011 0.000
! Energy of formation from the pure elements ... 0.02 eV/atom
! Relative energy among the computed polymorphs ... 90 meV per atom

=====

# 2
! La3Nd2Zn3, optimized geometry, DFT PBE-GGA; values from VASP
&SYSTEM
  ibrav = 0, nat = 8, ntyp = 3
/
ATOMIC_SPECIES
La 138.91 La.upf
Nd 144.24 Nd.upf
Zn 65.41 Zn.upf
CELL_PARAMETERS angstrom
3.790 0.000 0.000
0.000 5.447 0.000
-1.895 -2.724 11.165
ATOMIC_POSITIONS crystal
La 0.617 0.617 0.234
La 0.383 0.383 0.766
La 0.500 0.000 0.000
Nd 0.729 0.229 0.458
Nd 0.271 0.771 0.542
Zn 0.118 0.118 0.235
Zn 0.000 0.500 0.000
Zn 0.882 0.882 0.765
! Energy of formation from the pure elements ... -0.23 eV/atom

=====

# 3
! Sc7Ga5Sb, optimized geometry, DFT PBE-GGA; values from VASP
&SYSTEM
  ibrav = 0, nat = 13, ntyp = 3
/
ATOMIC_SPECIES
Sc 44.96 Sc.upf
Ga 69.72 Ga.upf
Sb 121.76 Sb.upf
CELL_PARAMETERS angstrom
-4.033 -0.757 3.727
-4.252 -5.992 -1.696
2.369 -4.129 5.847
ATOMIC_POSITIONS crystal
Sc 0.608 0.392 0.392
Sc 0.237 0.763 0.763
Sc 0.012 0.319 0.657
Sc 0.012 0.657 0.319
Sc 0.276 0.224 0.224
Sc 0.535 0.803 0.127
Sc 0.535 0.127 0.803
Ga 0.512 0.988 0.475
Ga 0.024 0.988 0.475
Ga 0.512 0.475 0.988
Ga 0.024 0.475 0.988
Ga 0.780 0.720 0.720
Sb 0.932 0.068 0.068
! ΔE_f (raw) ... -41 kJ/mol of atoms